## DyFeClF4 (PBE with a Hubbard U)

Data for crystalline DyFeClF4 at its relaxed geometry.

Output
Calculated total energy: -40.69 eV per formula unit

Unit cell a=6.4366 b=6.4366 c=7.1833 alpha=109.39 beta=109.39 gamma=67.21
Positions (direct):
1 Dy 0.2253 0.2253 0.0971
2 Dy 0.7747 0.7747 0.9029
3 Fe 0.3568 0.3568 0.7177
4 Fe 0.6432 0.6432 0.2823
5 Cl 0.0186 0.0186 0.2374
6 Cl 0.9814 0.9814 0.7626
7 F 0.0821 0.4562 0.8438
8 F 0.3223 0.3223 0.4311
9 F 0.4431 0.4431 0.1602
10 F 0.4562 0.0821 0.8438
11 F 0.5438 0.9179 0.1562
12 F 0.5569 0.5569 0.8398
13 F 0.6777 0.6777 0.5689
14 F 0.9179 0.5438 0.1562